# 1
5
Lattice="4.267 0.000 0.000 0.000 4.462 0.000 0.000 0.000 4.267" Properties=species:S:1:pos:R:3 comment="PBE-GGA BeAl2HgOs, optimized geometry" delta_e_f_ev_per_atom=0.992 m_tot_mub_per_cell=0.0 final_energy_ev_per_atom=-3.556 pbc="T T T"
Be 0.000 0.000 0.000
Os 2.133 2.231 2.133
Hg 0.000 2.231 0.000
Al 0.000 0.000 2.133
Al 2.133 0.000 0.000



# 2
5
Lattice="5.335 0.000 0.000 0.000 4.723 0.000 0.000 0.000 5.335" Properties=species:S:1:pos:R:3 comment="PBE-GGA BeAlHg2Pt, optimized geometry" delta_e_f_ev_per_atom=0.515 m_tot_mub_per_cell=0.0 final_energy_ev_per_atom=-2.308 pbc="T T T"
Be 2.668 2.362 2.668
Hg 0.000 0.000 2.668
Hg 2.668 0.000 0.000
Pt 0.000 0.000 0.000
Al 0.000 2.362 0.000



# 3
5
Lattice="-3.695 1.285 -2.043 -2.070 0.273 3.914 1.260 4.213 0.372" Properties=species:S:1:pos:R:3 comment="PBE-GGA Ti2BeAlHg, optimized geometry" delta_e_f_ev_per_atom=0.281 m_tot_mub_per_cell=0.0 final_energy_ev_per_atom=-4.431 pbc="T T T"
Be 0.000 0.000 0.000
Al -2.252 2.886 1.122
Hg -1.035 0.136 1.957
Ti 0.630 2.107 0.186
Ti -1.847 0.643 -1.022



# 4
5
Lattice="5.501 0.000 0.000 0.000 5.147 0.000 0.000 0.000 5.501" Properties=species:S:1:pos:R:3 comment="PBE-GGA BeAlTl2Hg, optimized geometry" delta_e_f_ev_per_atom=0.772 m_tot_mub_per_cell=0.0 final_energy_ev_per_atom=-1.729 pbc="T T T"
Be 2.751 2.574 2.751
Tl 0.000 0.000 2.751
Tl 2.751 0.000 0.000
Hg 0.000 2.574 0.000
Al 0.000 0.000 0.000



# 5
5
Lattice="-3.421 -1.818 -1.858 2.882 -3.686 -1.702 -0.754 -2.245 3.585" Properties=species:S:1:pos:R:3 comment="PBE-GGA Be2AlVHg, optimized geometry" delta_e_f_ev_per_atom=1.269 m_tot_mub_per_cell=0.3 final_energy_ev_per_atom=-2.854 pbc="T T T"
Be -0.377 -1.122 1.793
Be -1.711 -0.909 -0.929
Al 1.441 -1.843 -0.851
Hg 0.000 0.000 0.000
V -0.646 -3.874 0.013



# 6
5
Lattice="-3.372 2.636 1.748 -3.063 -3.211 -1.068 0.613 -1.962 4.141" Properties=species:S:1:pos:R:3 comment="PBE-GGA ZrBeAlHg2, optimized geometry" delta_e_f_ev_per_atom=0.356 m_tot_mub_per_cell=0.0 final_energy_ev_per_atom=-2.968 pbc="T T T"
Be 0.000 0.000 0.000
Hg 0.306 -0.981 2.070
Hg -1.686 1.318 0.874
Zr -2.912 -1.269 2.410
Al -1.532 -1.606 -0.534



# 7
4
Lattice="3.945 0.000 0.000 1.972 3.416 0.000 1.972 1.139 4.813" Properties=species:S:1:pos:R:3 comment="PBE-GGA HoBe2Al, optimized geometry" delta_e_f_ev_per_atom=-0.123 m_tot_mub_per_cell=0.0 final_energy_ev_per_atom=-4.066 pbc="T T T"
Be 1.972 1.139 0.493
Be 5.917 3.416 4.320
Ho 3.945 2.277 2.406
Al 0.000 0.000 0.000



# 8
10
Lattice="-2.949 -1.964 1.971 2.681 -2.775 1.245 1.748 5.178 7.775" Properties=species:S:1:pos:R:3 comment="PBE-GGA Ho2Be3AlIr4, optimized geometry" delta_e_f_ev_per_atom=-0.727 m_tot_mub_per_cell=0.0 final_energy_ev_per_atom=-6.680 pbc="T T T"
Ho -1.070 0.216 2.785
Ho 2.684 2.592 6.598
Be 0.874 2.589 3.887
Be 0.078 3.617 7.892
Be 1.536 -0.809 1.492
Al 0.740 0.219 5.496
Ir -0.134 -2.370 1.608
Ir 0.000 0.000 0.000
Ir -0.350 2.348 5.986
Ir 1.965 0.460 3.397